No. 1
! Sc2ReCl | the Alexandria database | PBEsol | optimized geometry; values from VASP
! - SG = P4mm (99)
! - ρ (Mg/m³) = 6.9
! - uncorrected energy (eV per atom) = -7.34
! - formation energy from raw total energies (kcal/mol of atoms) = -4.8
! - ΔE to the lowest computed polymorph (eV per atom) = 0.475
! - D(E_F) (states/eV per atom) = 0.538
! - size of the total moment (μB/cell) = 0.000
&SYSTEM
  ibrav = 0, nat = 4, ntyp = 3
/
ATOMIC_SPECIES
Sc 44.96 Sc.upf
Re 186.21 Re.upf
Cl 35.45 Cl.upf
ATOMIC_POSITIONS crystal
Sc 0.000 0.000 0.000
Sc 0.500 0.500 0.411
Re 0.500 0.500 0.950
Cl 0.000 0.000 0.485
CELL_PARAMETERS angstrom
3.754 0.000 0.000
0.000 3.754 0.000
0.000 0.000 5.358


No. 2
! Sc2ReCl | the Alexandria database | PBEsol | optimized geometry; values from VASP
! - SG = Fm-3m (225)
! - ρ (Mg/m³) = 7.4
! - uncorrected energy (eV per atom) = -7.13
! - formation energy from raw total energies (kcal/mol of atoms) = 0.2
! - ΔE to the lowest computed polymorph (eV per atom) = 0.690
! - D(E_F) (states/eV per atom) = 0.798
! - size of the total moment (μB/cell) = 0.001
&SYSTEM
  ibrav = 0, nat = 4, ntyp = 3
/
ATOMIC_SPECIES
Sc 44.96 Sc.upf
Re 186.21 Re.upf
Cl 35.45 Cl.upf
ATOMIC_POSITIONS crystal
Sc 0.250 0.250 0.250
Sc 0.750 0.750 0.750
Re 0.000 0.000 0.000
Cl 0.500 0.500 0.500
CELL_PARAMETERS angstrom
0.000 3.270 3.270
3.270 0.000 3.270
3.270 3.270 0.000


No. 3
! ScReCl2 | the Alexandria database | PBEsol | optimized geometry; values from VASP
! - SG = Fm-3m (225)
! - ρ (Mg/m³) = 8.3
! - uncorrected energy (eV per atom) = -5.67
! - formation energy from raw total energies (kcal/mol of atoms) = 7.4
! - ΔE to the lowest computed polymorph (eV per atom) = 0.674
! - D(E_F) (states/eV per atom) = 1.085
! - size of the total moment (μB/cell) = 0.002
&SYSTEM
  ibrav = 0, nat = 4, ntyp = 3
/
ATOMIC_SPECIES
Sc 44.96 Sc.upf
Re 186.21 Re.upf
Cl 35.45 Cl.upf
ATOMIC_POSITIONS crystal
Sc 0.000 0.000 0.000
Re 0.500 0.500 0.500
Cl 0.250 0.250 0.250
Cl 0.750 0.750 0.750
CELL_PARAMETERS angstrom
0.000 3.116 3.116
3.116 0.000 3.116
3.116 3.116 0.000


No. 4
! Sc2ReCl | the Alexandria database | PBEsol | optimized geometry; values from VASP
! - SG = Immm (71)
! - ρ (Mg/m³) = 7.1
! - uncorrected energy (eV per atom) = -7.10
! - formation energy from raw total energies (kcal/mol of atoms) = 0.9
! - ΔE to the lowest computed polymorph (eV per atom) = 0.722
! - D(E_F) (states/eV per atom) = 0.915
! - size of the total moment (μB/cell) = 0.004
&SYSTEM
  ibrav = 0, nat = 4, ntyp = 3
/
ATOMIC_SPECIES
Sc 44.96 Sc.upf
Re 186.21 Re.upf
Cl 35.45 Cl.upf
ATOMIC_POSITIONS crystal
Sc 0.238 0.238 0.000
Sc 0.762 0.762 0.000
Re 0.500 0.000 0.500
Cl 0.000 0.500 0.500
CELL_PARAMETERS angstrom
-1.633 2.777 4.039
1.633 -2.777 4.039
1.633 2.777 -4.039


No. 5
! Sc2ReTcCl | the Alexandria database | PBEsol | optimized geometry; values from VASP
! - SG = P4/mmm (123)
! - ρ (Mg/m³) = 7.6
! - uncorrected energy (eV per atom) = -7.39
! - formation energy from raw total energies (kcal/mol of atoms) = 13.3
! - D(E_F) (states/eV per atom) = 0.901
! - size of the total moment (μB/cell) = 1.105
&SYSTEM
  ibrav = 0, nat = 5, ntyp = 4
/
ATOMIC_SPECIES
Sc 44.96 Sc.upf
Re 186.21 Re.upf
Tc 98.00 Tc.upf
Cl 35.45 Cl.upf
ATOMIC_POSITIONS crystal
Sc 0.000 0.500 0.000
Sc 0.500 0.000 0.000
Re 0.000 0.000 0.500
Tc 0.500 0.500 0.500
Cl 0.000 0.000 0.000
CELL_PARAMETERS angstrom
4.575 0.000 0.000
0.000 4.575 0.000
0.000 0.000 4.286


No. 6
! ReSe2Cl | the Alexandria database | PBEsol | optimized geometry; values from VASP
! - SG = P4mm (99)
! - ρ (Mg/m³) = 8.2
! - uncorrected energy (eV per atom) = -5.51
! - formation energy from raw total energies (kcal/mol of atoms) = 5.8
! - ΔE to the lowest computed polymorph (eV per atom) = 0.110
! - D(E_F) (states/eV per atom) = 0.550
! - size of the total moment (μB/cell) = 0.000
&SYSTEM
  ibrav = 0, nat = 4, ntyp = 3
/
ATOMIC_SPECIES
Re 186.21 Re.upf
Se 78.96 Se.upf
Cl 35.45 Cl.upf
ATOMIC_POSITIONS crystal
Re 0.000 0.000 0.000
Se 0.000 0.000 0.487
Se 0.500 0.500 0.166
Cl 0.500 0.500 0.820
CELL_PARAMETERS angstrom
2.918 0.000 0.000
0.000 2.918 0.000
0.000 0.000 9.073


No. 7
! ReSe2Cl | the Alexandria database | PBEsol | optimized geometry; values from VASP
! - SG = Pmmm (47)
! - ρ (Mg/m³) = 9.6
! - uncorrected energy (eV per atom) = -4.78
! - formation energy from raw total energies (kcal/mol of atoms) = 22.7
! - ΔE to the lowest computed polymorph (eV per atom) = 0.841
! - D(E_F) (states/eV per atom) = 0.802
! - size of the total moment (μB/cell) = 0.000
&SYSTEM
  ibrav = 0, nat = 4, ntyp = 3
/
ATOMIC_SPECIES
Re 186.21 Re.upf
Se 78.96 Se.upf
Cl 35.45 Cl.upf
ATOMIC_POSITIONS crystal
Re 0.000 0.000 0.000
Se 0.000 0.500 0.500
Se 0.500 0.000 0.500
Cl 0.500 0.500 0.000
CELL_PARAMETERS angstrom
3.192 0.000 0.000
0.000 4.366 0.000
0.000 0.000 4.705


No. 8
! ReSe2Cl | the Alexandria database | PBEsol | optimized geometry; values from VASP
! - SG = P2/m (10)
! - ρ (Mg/m³) = 8.2
! - uncorrected energy (eV per atom) = -5.62
! - formation energy from raw total energies (kcal/mol of atoms) = 3.3
! - ΔE to the lowest computed polymorph (eV per atom) = 0.000
! - D(E_F) (states/eV per atom) = 0.618
! - size of the total moment (μB/cell) = 0.000
&SYSTEM
  ibrav = 0, nat = 4, ntyp = 3
/
ATOMIC_SPECIES
Re 186.21 Re.upf
Se 78.96 Se.upf
Cl 35.45 Cl.upf
ATOMIC_POSITIONS crystal
Re 0.000 0.000 0.000
Se 0.002 0.500 0.214
Se 0.998 0.500 0.786
Cl 0.500 0.000 0.500
CELL_PARAMETERS angstrom
2.619 0.000 0.000
0.000 3.266 0.000
-0.038 0.000 8.967


No. 9
! ReSe2Cl | the Alexandria database | PBEsol | optimized geometry; values from VASP
! - SG = I-42d (122)
! - ρ (Mg/m³) = 6.1
! - uncorrected energy (eV per atom) = -5.52
! - formation energy from raw total energies (kcal/mol of atoms) = 5.6
! - ΔE to the lowest computed polymorph (eV per atom) = 0.101
! - D(E_F) (states/eV per atom) = 0.708
! - size of the total moment (μB/cell) = 0.001
&SYSTEM
  ibrav = 0, nat = 8, ntyp = 3
/
ATOMIC_SPECIES
Re 186.21 Re.upf
Se 78.96 Se.upf
Cl 35.45 Cl.upf
ATOMIC_POSITIONS crystal
Re 0.000 0.000 0.000
Re 0.750 0.250 0.500
Se 0.049 0.625 0.924
Se 0.375 0.299 0.424
Se 0.701 0.125 0.076
Se 0.875 0.951 0.576
Cl 0.250 0.750 0.500
Cl 0.500 0.500 0.000
CELL_PARAMETERS angstrom
-3.293 3.293 4.730
3.293 -3.293 4.730
3.293 3.293 -4.730


No. 10
! ReSe4Cl | the Alexandria database | PBEsol | optimized geometry; values from VASP
! - SG = F-43m (216)
! - ρ (Mg/m³) = 7.4
! - uncorrected energy (eV per atom) = -4.01
! - formation energy from raw total energies (kcal/mol of atoms) = 25.7
! - D(E_F) (states/eV per atom) = 0.418
! - size of the total moment (μB/cell) = 4.071
&SYSTEM
  ibrav = 0, nat = 6, ntyp = 3
/
ATOMIC_SPECIES
Re 186.21 Re.upf
Se 78.96 Se.upf
Cl 35.45 Cl.upf
ATOMIC_POSITIONS crystal
Re 0.000 0.000 0.000
Se 0.374 0.374 0.374
Se 0.374 0.374 0.878
Se 0.374 0.878 0.374
Se 0.878 0.374 0.374
Cl 0.750 0.750 0.750
CELL_PARAMETERS angstrom
0.000 3.914 3.914
3.914 0.000 3.914
3.914 3.914 0.000


No. 11
! ReTeSeCl4 | the Alexandria database | PBEsol | optimized geometry; values from VASP
! - SG = I-4 (82)
! - ρ (Mg/m³) = 4.3
! - uncorrected energy (eV per atom) = -4.70
! - formation energy from raw total energies (kcal/mol of atoms) = -13.6
! - D(E_F) (states/eV per atom) = 0.000
! - size of the total moment (μB/cell) = 0.000
&SYSTEM
  ibrav = 0, nat = 28, ntyp = 4
/
ATOMIC_SPECIES
Re 186.21 Re.upf
Te 127.60 Te.upf
Se 78.96 Se.upf
Cl 35.45 Cl.upf
ATOMIC_POSITIONS crystal
Re 0.653 0.054 0.360
Re 0.694 0.294 0.640
Re 0.706 0.347 0.400
Re 0.946 0.306 0.600
Te 0.180 0.211 0.627
Te 0.447 0.820 0.030
Te 0.583 0.553 0.373
Te 0.789 0.417 0.970
Se 0.470 0.176 0.354
Se 0.821 0.115 0.646
Se 0.824 0.179 0.294
Se 0.885 0.530 0.706
Cl 0.011 0.661 0.130
Cl 0.119 0.989 0.650
Cl 0.128 0.068 0.349
Cl 0.159 0.417 0.891
Cl 0.161 0.471 0.608
Cl 0.221 0.872 0.940
Cl 0.339 0.469 0.350
Cl 0.447 0.839 0.310
Cl 0.526 0.268 0.109
Cl 0.529 0.137 0.690
Cl 0.531 0.881 0.870
Cl 0.583 0.474 0.741
Cl 0.719 0.779 0.651
Cl 0.732 0.841 0.259
Cl 0.863 0.553 0.392
Cl 0.932 0.281 0.060
CELL_PARAMETERS angstrom
-5.606 5.606 6.510
5.606 -5.606 6.510
5.606 5.606 -6.510


No. 12
! Tl5Re6Se8Cl7 | the Alexandria database | PBEsol | optimized geometry; values from VASP
! - SG = R3c (161)
! - ρ (Mg/m³) = 7.7
! - uncorrected energy (eV per atom) = -5.97
! - formation energy from raw total energies (kcal/mol of atoms) = -15.4
! - D(E_F) (states/eV per atom) = 0.000
! - size of the total moment (μB/cell) = 0.000
&SYSTEM
  ibrav = 0, nat = 52, ntyp = 4
/
ATOMIC_SPECIES
Tl 204.38 Tl.upf
Re 186.21 Re.upf
Se 78.96 Se.upf
Cl 35.45 Cl.upf
ATOMIC_POSITIONS crystal
Tl 0.000 0.000 0.000
Tl 0.098 0.403 0.791
Tl 0.194 0.194 0.194
Tl 0.291 0.903 0.598
Tl 0.403 0.791 0.098
Tl 0.500 0.500 0.500
Tl 0.598 0.291 0.903
Tl 0.694 0.694 0.694
Tl 0.791 0.098 0.403
Tl 0.903 0.598 0.291
Re 0.002 0.792 0.685
Re 0.010 0.692 0.902
Re 0.185 0.292 0.502
Re 0.192 0.510 0.402
Re 0.292 0.502 0.185
Re 0.402 0.192 0.510
Re 0.502 0.185 0.292
Re 0.510 0.402 0.192
Re 0.685 0.002 0.792
Re 0.692 0.902 0.010
Re 0.792 0.685 0.002
Re 0.902 0.010 0.692
Se 0.094 0.300 0.708
Se 0.099 0.486 0.895
Se 0.208 0.800 0.594
Se 0.287 0.287 0.287
Se 0.300 0.708 0.094
Se 0.395 0.986 0.599
Se 0.407 0.407 0.407
Se 0.486 0.895 0.099
Se 0.594 0.208 0.800
Se 0.599 0.395 0.986
Se 0.708 0.094 0.300
Se 0.787 0.787 0.787
Se 0.800 0.594 0.208
Se 0.895 0.099 0.486
Se 0.907 0.907 0.907
Se 0.986 0.599 0.395
Cl 0.101 0.101 0.101
Cl 0.203 0.713 0.479
Cl 0.213 0.703 0.979
Cl 0.217 0.492 0.979
Cl 0.479 0.203 0.713
Cl 0.479 0.992 0.717
Cl 0.492 0.979 0.217
Cl 0.601 0.601 0.601
Cl 0.703 0.979 0.213
Cl 0.713 0.479 0.203
Cl 0.717 0.479 0.992
Cl 0.979 0.213 0.703
Cl 0.979 0.217 0.492
Cl 0.992 0.717 0.479
CELL_PARAMETERS angstrom
4.680 2.702 17.169
-4.680 2.702 17.169
0.000 -5.404 17.169


Copy entry 1 word for word.
! Sc2ReCl | the Alexandria database | PBEsol | optimized geometry; values from VASP
! - SG = P4mm (99)
! - ρ (Mg/m³) = 6.9
! - uncorrected energy (eV per atom) = -7.34
! - formation energy from raw total energies (kcal/mol of atoms) = -4.8
! - ΔE to the lowest computed polymorph (eV per atom) = 0.475
! - D(E_F) (states/eV per atom) = 0.538
! - size of the total moment (μB/cell) = 0.000
&SYSTEM
  ibrav = 0, nat = 4, ntyp = 3
/
ATOMIC_SPECIES
Sc 44.96 Sc.upf
Re 186.21 Re.upf
Cl 35.45 Cl.upf
ATOMIC_POSITIONS crystal
Sc 0.000 0.000 0.000
Sc 0.500 0.500 0.411
Re 0.500 0.500 0.950
Cl 0.000 0.000 0.485
CELL_PARAMETERS angstrom
3.754 0.000 0.000
0.000 3.754 0.000
0.000 0.000 5.358


Q: Look up the ρ of the twelfth one.
A: 7.7 Mg/m³


Q: The highest uncorrected energy belongs to which entry?
A: ReSe4Cl


Q: Among the records above, which one has the highest D(E_F)?
A: ScReCl2